No. 1
## YCu2AuC (SCAN)

Data for YCu2AuC at its PBEsol-relaxed geometry.

## Properties
Formation energy from the elements, eV per atom: 1.877
Volume, Å³/f.u.: 100
E_tot, eV per atom: -25.62
Space group: P4/mmm

```
data_YCu2AuC
_chemical_formula_sum 'Y1 Cu2 Au1 C1'
_symmetry_space_group_name_H-M 'P 1'
_symmetry_Int_Tables_number 1
_cell_length_a 4.1813
_cell_length_b 4.8921
_cell_length_c 4.8921
_cell_angle_alpha 90.00
_cell_angle_beta 90.00
_cell_angle_gamma 90.00
loop_
_symmetry_equiv_pos_as_xyz
'x,y,z'
loop_
_atom_site_label
_atom_site_fract_x
_atom_site_fract_y
_atom_site_fract_z
Y1 0.0000 0.0000 0.0000
C1 0.5000 0.0000 0.0000
Au1 0.5000 0.5000 0.5000
Cu1 0.0000 0.0000 0.5000
Cu2 0.0000 0.5000 0.0000
```


No. 2
## LiSi2Rh (SCAN)

Data for LiSi2Rh at its PBEsol-relaxed geometry.

## Properties
Formation energy from raw total energies, eV/atom: -0.46
Volume, Å³/f.u.: 50
E_tot, eV per atom: -14.50
Space group: I4/mmm

```
data_LiSi2Rh
_chemical_formula_sum 'Li1 Si2 Rh1'
_symmetry_space_group_name_H-M 'P 1'
_symmetry_Int_Tables_number 1
_cell_length_a 3.9047
_cell_length_b 4.2698
_cell_length_c 3.9047
_cell_angle_alpha 117.21
_cell_angle_beta 90.00
_cell_angle_gamma 117.21
loop_
_symmetry_equiv_pos_as_xyz
'x,y,z'
loop_
_atom_site_label
_atom_site_fract_x
_atom_site_fract_y
_atom_site_fract_z
Si1 0.7500 0.5000 0.2500
Si2 0.2500 0.5000 0.7500
Rh1 0.0000 0.0000 0.0000
Li1 0.5000 0.0000 0.5000
```


No. 3
## BaMgAg3 (SCAN)

Data for BaMgAg3 at its PBEsol-relaxed geometry.

## Properties
Formation energy from the elements, eV per atom: 1.035
Volume, Å³/f.u.: 198
E_tot, eV per atom: -26.69
Space group: Pm-3m

```
data_BaMgAg3
_chemical_formula_sum 'Ba1 Mg1 Ag3'
_symmetry_space_group_name_H-M 'P 1'
_symmetry_Int_Tables_number 1
_cell_length_a 5.8257
_cell_length_b 5.8257
_cell_length_c 5.8257
_cell_angle_alpha 90.00
_cell_angle_beta 90.00
_cell_angle_gamma 90.00
loop_
_symmetry_equiv_pos_as_xyz
'x,y,z'
loop_
_atom_site_label
_atom_site_fract_x
_atom_site_fract_y
_atom_site_fract_z
Mg1 0.5000 0.5000 0.5000
Ba1 0.0000 0.0000 0.0000
Ag1 0.0000 0.5000 0.0000
Ag2 0.0000 0.0000 0.5000
Ag3 0.5000 0.0000 0.0000
```